# GGA-PBE TbYAl2Pt4, optimized geometry
# V = 18.96 Å³/atom
# E = -6.532 eV per atom
# size of the total moment = 0.00 μB per cell
data_TbYAl2Pt4
_chemical_formula_sum 'Tb1 Y1 Al2 Pt4'
_space_group_name_H-M_alt 'P -6 m 2'
_space_group_IT_number 187
_space_group_name_Hall 'P -6 2'
_cell_length_a 4.3461
_cell_length_b 4.3461
_cell_length_c 9.2700
_cell_angle_alpha 90.00
_cell_angle_beta 90.00
_cell_angle_gamma 120.00
loop_
_atom_site_label
_atom_site_fract_x
_atom_site_fract_y
_atom_site_fract_z
Tb1 0.0000 0.0000 0.0000
Y1 0.6667 0.3333 0.5000
Al1 0.3333 0.6667 0.2501
Pt1 0.0000 0.0000 0.3321
Pt2 0.6667 0.3333 0.1678